An optimized crystal structure of K4RbNi3F12. Source: Alexandria, functional PBE with a Hubbard U.

a = 8.576 Å, b = 8.576 Å, c = 8.576 Å
α = 90.00°, β = 90.00°, γ = 90.00°
Space group Im-3m (No. 229)
Inequivalent atoms, fractional coordinates:
K (0.250, 0.250, 0.250) x8
Rb (0.000, 0.000, 0.000) x2
Ni (0.000, 0.000, 0.500) x6
F (0.000, 0.000, 0.285) x12
F (0.000, 0.250, 0.500) x12

Calculated values
E in eV/atom: -4.139
DOS at the Fermi energy in states/eV/f.u.: 4.0
Magnetization in μB/f.u.: 5.00